# DyY3Th2, relaxed, DFT GGA-PBE
# ΔE to the lowest computed polymorph: 0 meV per atom
# DFT total energy: -6.44 eV/atom
data_DyY3Th2
_cell_length_a 10.077
_cell_length_b 3.581
_cell_length_c 10.684
_cell_angle_alpha 90.00
_cell_angle_beta 90.02
_cell_angle_gamma 90.00
_symmetry_space_group_name_H-M 'P 1 21/m 1'
_symmetry_Int_Tables_number 11
loop_
_symmetry_equiv_pos_as_xyz
'x,y,z'
'-x,-y,-z'
'-x,y+1/2,-z'
'x,-y+1/2,z'
loop_
_atom_site_label
_atom_site_type_symbol
_atom_site_fract_x
_atom_site_fract_y
_atom_site_fract_z
Dy1 Dy 0.124 0.250 0.250
Y1 Y 0.132 0.250 0.918
Y2 Y 0.367 0.750 0.418
Y3 Y 0.376 0.750 0.750
Th1 Th 0.121 0.250 0.582
Th2 Th 0.378 0.750 0.082